1.
An optimized crystal structure of LaFeCu2. Source: the Alexandria database, functional PBE-GGA.

The space group is Imm2 (No. 44) and the conventional cell measures 4.310, 5.178 and 6.809 Å, with angles of 90.00, 90.00 and 90.00 degrees. Symmetry generates all atoms from La at (0.000, 0.000, 0.000), Fe at (0.000, 0.500, 0.168), Cu at (0.000, 0.000, 0.497) and Cu at (0.000, 0.500, 0.796).

The size of the total moment is 4.8 Bohr magnetons per cell. The calculation puts the formation energy at 268 meV/atom.

2.
An optimized crystal structure of LaFeCu2. Source: the Alexandria database, functional PBE-GGA.

The space group is P2/m (No. 10) and the conventional cell measures 3.292, 4.311 and 5.283 Å, with angles of 90.00, 107.07 and 90.00 degrees. Symmetry generates all atoms from La at (0.000, 0.000, 0.000), Fe at (0.500, 0.000, 0.500) and Cu at (0.330, 0.500, 0.685).

The size of the total moment is 2.0 Bohr magnetons per cell. The calculation puts the formation energy at 238 meV/atom.

3.
An optimized crystal structure of La3FeCu. Source: the Alexandria database, functional PBE-GGA.

The space group is Pm-3m (No. 221) and the conventional cell measures 5.238, 5.238 and 5.238 Å, with angles of 90.00, 90.00 and 90.00 degrees. Symmetry generates all atoms from La at (0.000, 0.000, 0.500), Fe at (0.000, 0.000, 0.000) and Cu at (0.500, 0.500, 0.500).

The size of the total moment is 0.0 Bohr magnetons per cell. The calculation puts the formation energy at 137 meV/atom. The value obtained for the energy above the most stable polymorph in this dataset is 76 kJ/mol of formula units.

4.
An optimized crystal structure of LaFeCu3. Source: the Alexandria database, functional PBE-GGA.

The space group is Pm-3m (No. 221) and the conventional cell measures 5.058, 5.058 and 5.058 Å, with angles of 90.00, 90.00 and 90.00 degrees. Symmetry generates all atoms from La at (0.000, 0.000, 0.000), Fe at (0.500, 0.500, 0.500) and Cu at (0.000, 0.000, 0.500).

The size of the total moment is 0.2 Bohr magnetons per cell. The calculation puts the formation energy at 1947 meV/atom. The value obtained for the energy above the most stable polymorph in this dataset is 790 kJ/mol of formula units.

Repeat the second record exactly.
An optimized crystal structure of LaFeCu2. Source: the Alexandria database, functional PBE-GGA.

The space group is P2/m (No. 10) and the conventional cell measures 3.292, 4.311 and 5.283 Å, with angles of 90.00, 107.07 and 90.00 degrees. Symmetry generates all atoms from La at (0.000, 0.000, 0.000), Fe at (0.500, 0.000, 0.500) and Cu at (0.330, 0.500, 0.685).

The size of the total moment is 2.0 Bohr magnetons per cell. The calculation puts the formation energy at 238 meV/atom.

Question: What is the size of the total moment in the third record?
Answer: 0.0 Bohr magnetons per cell

Question: Which value of size of the total moment does entry 1 give?
Answer: 4.8 Bohr magnetons per cell

Question: What is the size of the total moment in the first record?
Answer: 4.8 Bohr magnetons per cell